Record 1
# CaB14W

An optimized crystal structure of CaB14W (PBE-GGA, Alexandria via LeMat-Bulk).

Lattice parameters (Å, degrees): 5.8736 7.4191 7.4191 67.43 66.68 66.68
Fractional coordinates of all 32 atoms:
1 Ca 0.2500 0.3834 0.1166
2 Ca 0.7500 0.6166 0.8834
3 B 0.6677 0.3643 0.3003
4 B 0.3323 0.6357 0.6997
5 B 0.1677 0.8003 0.8643
6 B 0.8323 0.1997 0.1357
7 B 0.1217 0.2521 0.5044
8 B 0.8783 0.7479 0.4956
9 B 0.6217 0.0044 0.7521
10 B 0.3783 0.9956 0.2479
11 B 0.0810 0.0888 0.7491
12 B 0.9190 0.9112 0.2509
13 B 0.5810 0.2491 0.5888
14 B 0.4190 0.7509 0.4112
15 B 0.7233 0.5990 0.2739
16 B 0.5963 0.4010 0.7261
17 B 0.2233 0.7739 0.0990
18 B 0.0963 0.2261 0.9010
19 B 0.2767 0.4010 0.7261
20 B 0.4037 0.5990 0.2739
21 B 0.7767 0.2261 0.9010
22 B 0.9037 0.7739 0.0990
23 B 0.3243 0.9690 0.8742
24 B 0.1675 0.0310 0.1258
25 B 0.8243 0.3742 0.4690
26 B 0.6675 0.6258 0.5310
27 B 0.6757 0.0310 0.1258
28 B 0.8325 0.9690 0.8742
29 B 0.1757 0.6258 0.5310
30 B 0.3325 0.3742 0.4690
31 W 0.5000 0.0000 0.5000
32 W 0.0000 0.0000 0.5000

Values from the calculation:
* energy of formation: -0.090 eV per atom
* symmetry: Imma, No. 74
* total magnetic moment: 0.0 μB per formula unit

***

Record 2
# BaAgHgAu2

An optimized crystal structure of BaAgHgAu2 (PBE-GGA, Alexandria via LeMat-Bulk).

Lattice parameters (Å, degrees): 6.0848 6.6657 6.0848 90.00 90.00 90.00
Fractional coordinates of all 5 atoms:
1 Au 0.0000 0.0000 0.5000
2 Au 0.5000 0.0000 0.0000
3 Hg 0.0000 0.5000 0.0000
4 Ag 0.5000 0.5000 0.5000
5 Ba 0.0000 0.0000 0.0000

Values from the calculation:
* energy of formation: 0.531 eV per atom
* ΔE to the lowest computed polymorph: 90.49 kJ/mol of atoms
* symmetry: P4/mmm, No. 123
* total magnetic moment: 0.0 μB per formula unit

***

Record 3
# FeNi4H4

An optimized crystal structure of FeNi4H4 (PBE-GGA, Alexandria via LeMat-Bulk).

Lattice parameters (Å, degrees): 3.6562 4.5597 4.5595 80.65 66.36 66.36
Fractional coordinates of all 9 atoms:
1 Fe 0.0000 0.0000 0.0000
2 Ni 0.6058 0.5979 0.1904
3 Ni 0.3942 0.4021 0.8096
4 Ni 0.2036 0.1904 0.4024
5 Ni 0.7964 0.8096 0.5976
6 H 0.8919 0.4215 0.7948
7 H 0.1081 0.5785 0.2052
8 H 0.3140 0.7940 0.5780
9 H 0.6860 0.2060 0.4220

Values from the calculation:
* energy: -45.3 eV/cell
* symmetry: C2/m, No. 12
* total magnetic moment: 4.0 μB per formula unit

***

Record 4
# NaP2IrCl

An optimized crystal structure of NaP2IrCl (PBE-GGA, Alexandria via LeMat-Bulk).

Lattice parameters (Å, degrees): 4.8249 4.8249 4.5910 90.00 90.00 90.00
Fractional coordinates of all 5 atoms:
1 P 0.0000 0.5000 0.0000
2 P 0.5000 0.0000 0.0000
3 Ir 0.5000 0.5000 0.5000
4 Na 0.0000 0.0000 0.0000
5 Cl 0.0000 0.0000 0.5000

Values from the calculation:
* ΔE_f (raw): 8.5 eV/f.u.
* ΔE to the lowest computed polymorph: 178.44 kJ/mol of atoms
* symmetry: P4/mmm, No. 123
* total magnetic moment: 1.4 μB per formula unit

***

Record 5
# Ga6PdRh3

An optimized crystal structure of Ga6PdRh3 (PBE-GGA, Alexandria via LeMat-Bulk).

Lattice parameters (Å, degrees): 6.3941 6.6000 7.7628 90.00 90.16 90.00
Fractional coordinates of all 20 atoms:
1 Ga 0.6409 0.1547 0.9329
2 Ga 0.6519 0.1516 0.5636
3 Ga 0.7357 0.4368 0.2471
4 Ga 0.2643 0.5632 0.7529
5 Ga 0.3481 0.8484 0.4364
6 Ga 0.3591 0.8453 0.0671
7 Ga 0.1409 0.3453 0.4329
8 Ga 0.1519 0.3484 0.0636
9 Ga 0.2357 0.0632 0.7471
10 Ga 0.7643 0.9368 0.2529
11 Ga 0.8481 0.6516 0.9364
12 Ga 0.8591 0.6547 0.5671
13 Pd 0.5000 0.5000 0.5000
14 Pd 0.0000 0.0000 0.0000
15 Rh 0.5464 0.8364 0.7463
16 Rh 0.5000 0.5000 0.0000
17 Rh 0.4536 0.1636 0.2537
18 Rh 0.0464 0.6636 0.2463
19 Rh 0.0000 0.0000 0.5000
20 Rh 0.9536 0.3364 0.7537

Values from the calculation:
* energy of formation: -0.437 eV per atom
* symmetry: P2_1/c, No. 14
* total magnetic moment: 0.0 μB per formula unit

***

Q: Which of these has the highest total magnetic moment?
A: FeNi4H4